# BePb3Au, optimized geometry, DFT PBE-GGA
# SG	Pm-3m, No. 221
# ΔH_f (0 K)	0.3785	eV per atom
data_BePb3Au
_space_group_name_H-M_alt 'P 1'
_space_group_IT_number 1
_cell_length_a 5.0740
_cell_length_b 5.0740
_cell_length_c 5.0740
_cell_angle_alpha 90.00
_cell_angle_beta 90.00
_cell_angle_gamma 90.00
loop_
_space_group_symop_operation_xyz
'x,y,z'
loop_
_atom_site_label
_atom_site_type_symbol
_atom_site_fract_x
_atom_site_fract_y
_atom_site_fract_z
Pb1 Pb 0.0000 0.5000 0.0000
Pb2 Pb 0.0000 0.0000 0.5000
Pb3 Pb 0.5000 0.0000 0.0000
Be1 Be 0.0000 0.0000 0.0000
Au1 Au 0.5000 0.5000 0.5000


# FeTc2Pt, optimized geometry, DFT PBE-GGA
# SG	P4/mmm, No. 123
# ΔH_f (0 K)	-0.0260	eV per atom
data_FeTc2Pt
_space_group_name_H-M_alt 'P 1'
_space_group_IT_number 1
_cell_length_a 2.6768
_cell_length_b 2.6768
_cell_length_c 7.6649
_cell_angle_alpha 90.00
_cell_angle_beta 90.00
_cell_angle_gamma 90.01
loop_
_space_group_symop_operation_xyz
'x,y,z'
loop_
_atom_site_label
_atom_site_type_symbol
_atom_site_fract_x
_atom_site_fract_y
_atom_site_fract_z
Fe1 Fe 0.5000 0.5000 0.2500
Pt1 Pt 0.5000 0.5000 0.7500
Tc1 Tc 0.0000 0.0000 0.0211
Tc2 Tc 0.0000 0.0000 0.4789


# Ni2BiP, optimized geometry, DFT PBE-GGA
# SG	Fm-3m, No. 225
# ΔH_f (0 K)	0.2753	eV per atom
data_Ni2BiP
_space_group_name_H-M_alt 'P 1'
_space_group_IT_number 1
_cell_length_a 4.4621
_cell_length_b 4.4621
_cell_length_c 4.4621
_cell_angle_alpha 60.00
_cell_angle_beta 60.00
_cell_angle_gamma 60.00
loop_
_space_group_symop_operation_xyz
'x,y,z'
loop_
_atom_site_label
_atom_site_type_symbol
_atom_site_fract_x
_atom_site_fract_y
_atom_site_fract_z
Ni1 Ni 0.2500 0.2500 0.2500
Ni2 Ni 0.7500 0.7500 0.7500
Bi1 Bi 0.5000 0.5000 0.5000
P1 P 0.0000 0.0000 0.0000


# Sm3C2F, optimized geometry, DFT PBE-GGA
# uncorrected formation energy	-0.687	eV/atom
# SG	Cmcm, No. 63
data_Sm3C2F
_space_group_name_H-M_alt 'P 1'
_space_group_IT_number 1
_cell_length_a 3.7323
_cell_length_b 6.5565
_cell_length_c 10.7910
_cell_angle_alpha 90.00
_cell_angle_beta 90.00
_cell_angle_gamma 106.54
loop_
_space_group_symop_operation_xyz
'x,y,z'
loop_
_atom_site_label
_atom_site_type_symbol
_atom_site_fract_x
_atom_site_fract_y
_atom_site_fract_z
Sm1 Sm 0.6154 0.2308 0.0763
Sm2 Sm 0.0864 0.1728 0.7500
Sm3 Sm 0.6154 0.2308 0.4237
Sm4 Sm 0.9136 0.8272 0.2500
Sm5 Sm 0.3846 0.7692 0.9237
Sm6 Sm 0.3846 0.7692 0.5763
C1 C 0.0000 0.0000 0.0000
C2 C 0.0000 0.0000 0.5000
C3 C 0.5236 0.0473 0.2500
C4 C 0.4764 0.9527 0.7500
F1 F 0.2669 0.5338 0.2500
F2 F 0.7331 0.4662 0.7500


# BeCr2InTc, optimized geometry, DFT PBE-GGA
# SG	P4/mmm, No. 123
# ΔH_f (0 K)	2.2327	eV per atom
data_BeCr2InTc
_space_group_name_H-M_alt 'P 1'
_space_group_IT_number 1
_cell_length_a 4.7077
_cell_length_b 4.1149
_cell_length_c 4.7077
_cell_angle_alpha 90.00
_cell_angle_beta 90.00
_cell_angle_gamma 90.00
loop_
_space_group_symop_operation_xyz
'x,y,z'
loop_
_atom_site_label
_atom_site_type_symbol
_atom_site_fract_x
_atom_site_fract_y
_atom_site_fract_z
Cr1 Cr 0.0000 0.0000 0.5000
Cr2 Cr 0.5000 0.0000 0.0000
Be1 Be 0.0000 0.5000 0.0000
Tc1 Tc 0.5000 0.5000 0.5000
In1 In 0.0000 0.0000 0.0000


# ScCI2O, optimized geometry, DFT PBE-GGA
# uncorrected formation energy	0.253	eV/atom
# SG	P4/mmm, No. 123
data_ScCI2O
_space_group_name_H-M_alt 'P 1'
_space_group_IT_number 1
_cell_length_a 5.8945
_cell_length_b 5.8945
_cell_length_c 3.8504
_cell_angle_alpha 90.00
_cell_angle_beta 90.00
_cell_angle_gamma 90.00
loop_
_space_group_symop_operation_xyz
'x,y,z'
loop_
_atom_site_label
_atom_site_type_symbol
_atom_site_fract_x
_atom_site_fract_y
_atom_site_fract_z
I1 I 0.0000 0.5000 0.0000
I2 I 0.5000 0.0000 0.0000
Sc1 Sc 0.0000 0.0000 0.0000
C1 C 0.5000 0.5000 0.5000
O1 O 0.0000 0.0000 0.5000